Record 1
14
Lattice="-1.441 -2.131 4.215 6.768 -4.684 -0.055 0.133 7.325 3.749" Properties=species:S:1:pos:R:3 comment="PBE-GGA Li3PS3, relaxed" dos_at_fermi_per_ev_fu=1.852 m_tot_mub_per_cell=0.0 volume_a3_per_cell=290.4 raw_formation_energy_ev_per_atom=-0.650 energy_ha_per_atom=-0.1475 pbc="T T T"
Li 4.168 2.460 4.115
Li 0.860 1.197 2.346
Li 0.926 4.709 4.144
Li 1.292 -1.950 3.795
Li 4.600 -0.688 5.564
Li 4.534 -4.199 3.766
P 1.260 1.731 5.645
P 4.200 -1.221 2.265
S 3.295 1.422 6.185
S 0.214 0.245 4.536
S 0.270 3.526 6.214
S 2.165 -0.912 1.725
S 5.246 0.264 3.373
S 5.190 -3.016 1.696

---

Record 2
5
Lattice="4.151 0.000 0.000 0.000 4.379 0.000 0.000 0.000 4.151" Properties=species:S:1:pos:R:3 comment="PBE-GGA Ta2IrAuO, relaxed" dos_at_fermi_per_ev_fu=2.844 m_tot_mub_per_cell=0.0 volume_a3_per_cell=75.5 raw_formation_energy_ev_per_atom=-0.355 energy_ha_per_atom=-0.3129 pbc="T T T"
Ir 0.000 2.189 0.000
Au 2.076 2.189 2.076
O 0.000 0.000 0.000
Ta 0.000 0.000 2.076
Ta 2.076 0.000 0.000

---

Record 3
5
Lattice="4.000 0.000 0.000 0.000 4.000 0.000 2.000 2.000 5.250" Properties=species:S:1:pos:R:3 comment="PBE-GGA ScMn2Ir2, relaxed" dos_at_fermi_per_ev_fu=4.678 m_tot_mub_per_cell=5.2 volume_a3_per_cell=84.0 energy_ha_per_atom=-0.3187 delta_e_f_ev_per_atom=-0.19 de_polymorph_ev_per_fu=0.31 pbc="T T T"
Sc 0.000 0.000 0.000
Ir 2.000 2.000 1.207
Ir 4.000 4.000 4.043
Mn 4.000 2.000 2.625
Mn 2.000 4.000 2.625